(1)
Material: V6SiNi
Method: DFT, PBE
State: relaxed

Values from the calculation:
Its calculated volume is 12.885 A^3/atom. As for the total magnetic moment: 1.6 Bohr magnetons per cell. For the energy, the calculation gives -68.2 eV/f.u. Its symmetry is No. 200. For the uncorrected formation energy, the calculation gives -282 meV per atom.

abc: 6.635 6.634 4.690
angles: 44.95 44.97 59.96
Each line ends with the local moment (μB).
Fractional positions:
V: 0.001 0.500 0.748  0.20
V: 0.751 0.000 0.749  0.20
V: 0.500 0.249 0.252  0.20
V: 0.249 0.000 0.251  0.20
V: 0.999 0.500 0.252  0.20
V: 0.500 0.751 0.748  0.20
Si: 0.500 0.500 0.500  -0.01
Ni: 0.000 0.000 0.000  0.20

=====

(2)
Material: V2SiNi
Method: DFT, PBE
State: relaxed

Values from the calculation:
Its calculated volume is 12.277 A^3/atom. As for the total magnetic moment: 0.0 Bohr magnetons per cell. For the energy, the calculation gives -31.1 eV/f.u. Its symmetry is No. 123. For the uncorrected formation energy, the calculation gives -421 meV per atom.

abc: 3.978 3.514 3.514
angles: 90.00 90.00 90.00
Fractional positions:
Ni: 0.500 0.500 0.500
Si: 0.500 0.000 0.000
V: 0.000 0.000 0.500
V: 0.000 0.500 0.000